# 1
{
  "formula": "LaBeFe2",
  "functional": "PBE",
  "state": "optimized geometry",
  "cell": [[-3.2004, -3.5143, 0.7530], [-0.2417, -2.6150, -4.0328], [3.8020, 1.3774, 2.6093]],
  "species": ["Fe", "Fe", "La", "Be"],
  "fractional_positions": [[0.2500, 0.7500, 0.5000], [0.0000, 0.0000, 0.0000], [0.5000, 0.5000, 0.0000], [0.7500, 0.2500, 0.5000]]
}



# 2
{
  "formula": "TmMg3Hg2",
  "functional": "PBE",
  "state": "optimized geometry",
  "e_above_lowest_polymorph_mev_per_atom": 46,
  "cell": [[-0.9375, -4.2191, 0.5261], [1.3600, 0.7714, -9.4065], [6.3936, -0.7554, 5.3351]],
  "species": ["Mg", "Mg", "Mg", "Mg", "Mg", "Mg", "Tm", "Tm", "Hg", "Hg", "Hg", "Hg"],
  "fractional_positions": [[0.0608, 0.1215, 0.4355], [0.3502, 0.7005, 0.1864], [0.3111, 0.6223, 0.5209], [0.6498, 0.2995, 0.8136], [0.9392, 0.8785, 0.5645], [0.6889, 0.3777, 0.4791], [0.8853, 0.7706, 0.9122], [0.1147, 0.2294, 0.0878], [0.2405, 0.4811, 0.7635], [0.7595, 0.5189, 0.2365], [0.4908, 0.9817, 0.8095], [0.5092, 0.0183, 0.1905]]
}



no.,energy of formation from the pure elements (eV per atom)
1,0.517
2,-0.235